1.
Below is an optimized crystal structure of KBF2, with properties calculated at the PBE-GGA level. Values from VASP.

Fermi-level density of states (states/eV/f.u.): 0.00
VASP energy (eV per atom): -3.800
SG: No. 122
Offset from the most stable computed form (eV/f.u.): 0.47

Geometry as Quantum ESPRESSO input:
```
&SYSTEM
  ibrav = 0, nat = 8, ntyp = 3
/
ATOMIC_SPECIES
K 39.10 K.upf
B 10.81 B.upf
F 19.00 F.upf
CELL_PARAMETERS angstrom
-2.603 2.603 5.713
2.603 -2.603 5.713
2.603 2.603 -5.713
ATOMIC_POSITIONS angstrom
K 0.000 0.000 0.000
K 0.000 2.603 2.857
B 2.603 0.000 2.857
B 0.000 0.000 5.713
F 1.301 -0.844 4.285
F 1.759 1.301 1.428
F 1.301 3.447 -1.428
F 0.844 1.301 7.142
```

2.
Below is an optimized crystal structure of KB2F, with properties calculated at the PBE-GGA level. Values from VASP.

Fermi-level density of states (states/eV/f.u.): 4.06
VASP energy (eV per atom): -2.421
SG: No. 225
Offset from the most stable computed form (eV/f.u.): 8.03

Geometry as Quantum ESPRESSO input:
```
&SYSTEM
  ibrav = 0, nat = 4, ntyp = 3
/
ATOMIC_SPECIES
K 39.10 K.upf
B 10.81 B.upf
F 19.00 F.upf
CELL_PARAMETERS angstrom
0.000 3.295 3.295
3.295 0.000 3.295
3.295 3.295 0.000
ATOMIC_POSITIONS angstrom
K 0.000 0.000 0.000
B 1.648 1.648 1.648
B 4.943 4.943 4.943
F 3.295 3.295 3.295
```

3.
Below is an optimized crystal structure of KB3F, with properties calculated at the PBE-GGA level. Values from VASP.

Fermi-level density of states (states/eV/f.u.): 6.31
VASP energy (eV per atom): -1.599
SG: No. 221
Offset from the most stable computed form (eV/f.u.): 5.22

Geometry as Quantum ESPRESSO input:
```
&SYSTEM
  ibrav = 0, nat = 5, ntyp = 3
/
ATOMIC_SPECIES
K 39.10 K.upf
B 10.81 B.upf
F 19.00 F.upf
CELL_PARAMETERS angstrom
5.898 0.000 0.000
0.000 5.898 0.000
0.000 0.000 5.898
ATOMIC_POSITIONS angstrom
K 0.000 0.000 0.000
B 0.000 0.000 2.949
B 0.000 2.949 0.000
B 2.949 0.000 0.000
F 2.949 2.949 2.949
```

4.
Below is an optimized crystal structure of KB2F, with properties calculated at the PBE-GGA level. Values from VASP.

Fermi-level density of states (states/eV/f.u.): 1.23
VASP energy (eV per atom): -4.429
SG: No. 141
Offset from the most stable computed form (eV/f.u.): 0.00

Geometry as Quantum ESPRESSO input:
```
&SYSTEM
  ibrav = 0, nat = 8, ntyp = 3
/
ATOMIC_SPECIES
K 39.10 K.upf
B 10.81 B.upf
F 19.00 F.upf
CELL_PARAMETERS angstrom
-1.659 1.659 13.910
1.659 -1.659 13.910
1.659 1.659 -13.910
ATOMIC_POSITIONS angstrom
K 1.659 0.829 3.478
K 0.000 0.829 10.433
B 0.000 0.000 0.000
B 0.829 0.829 -6.955
B 0.829 -0.829 6.955
B 0.000 1.659 0.000
F 1.659 -0.829 10.433
F 0.000 2.488 3.478
```

> Among the records above, which one has the lowest VASP energy?

number 4

> offset from the most stable computed form of number 1 (KBF2)?

0.47 eV/f.u.

> Among the records above, which one has the lowest Fermi-level density of states?

KBF2

> What is the VASP energy in the first record?

-3.800 eV per atom